# 1
First-principles (PBE) data for crystalline Dy3Y2Ho6In at its relaxed geometry, as listed in Alexandria via LeMat-Bulk.

Cell: 6.065 6.065 11.627 Å, 95.02 95.02 120.03°
Fractional positions:
1 Dy 0.000 0.000 0.000
2 Dy 0.333 0.667 0.000
3 Dy 0.667 0.333 0.000
4 Y 0.166 0.834 0.500
5 Y 0.834 0.166 0.500
6 Ho 0.090 0.418 0.252
7 Ho 0.253 0.253 0.749
8 Ho 0.418 0.090 0.252
9 Ho 0.582 0.910 0.748
10 Ho 0.747 0.747 0.251
11 Ho 0.910 0.582 0.748
12 In 0.500 0.500 0.500

density	8.06	g/cm3
energy of formation from the pure elements	-0.042	eV/atom
spin magnetization	0.01	Bohr magnetons per cell



# 2
First-principles (PBE) data for crystalline Dy3Y6Ho2In at its relaxed geometry, as listed in Alexandria via LeMat-Bulk.

Cell: 6.108 6.108 11.637 Å, 95.05 95.05 120.04°
Fractional positions:
1 Dy 0.000 0.000 0.000
2 Dy 0.333 0.667 0.000
3 Dy 0.667 0.333 0.000
4 Y 0.090 0.419 0.254
5 Y 0.253 0.253 0.747
6 Y 0.419 0.090 0.254
7 Y 0.581 0.910 0.746
8 Y 0.747 0.747 0.253
9 Y 0.910 0.581 0.746
10 Ho 0.166 0.834 0.500
11 Ho 0.834 0.166 0.500
12 In 0.500 0.500 0.500

density	6.58	g/cm3
energy of formation from the pure elements	-0.038	eV/atom
spin magnetization	0.00	Bohr magnetons per cell



# 3
First-principles (PBE) data for crystalline DyHoZnIn at its relaxed geometry, as listed in Alexandria via LeMat-Bulk.

Cell: 3.631 3.631 7.418 Å, 90.00 90.00 90.00°
Fractional positions:
1 Dy 0.000 0.000 0.000
2 Ho 0.000 0.000 0.539
3 Zn 0.500 0.500 0.767
4 In 0.500 0.500 0.271

energy above the most stable polymorph in this dataset	0	meV/atom
density	8.62	g/cm3
energy of formation from the pure elements	-0.416	eV/atom
spin magnetization	0.00	Bohr magnetons per cell



# 4
First-principles (PBE) data for crystalline DyHoZnIn at its relaxed geometry, as listed in Alexandria via LeMat-Bulk.

Cell: 5.186 5.186 5.186 Å, 60.00 60.00 60.00°
Fractional positions:
1 Dy 0.000 0.000 0.000
2 Ho 0.500 0.500 0.500
3 Zn 0.250 0.250 0.250
4 In 0.750 0.750 0.750

energy above the most stable polymorph in this dataset	21	meV/atom
density	8.55	g/cm3
energy of formation from the pure elements	-0.395	eV/atom
spin magnetization	0.00	Bohr magnetons per cell



# 5
First-principles (PBE) data for crystalline Dy2HoZn2In2 at its relaxed geometry, as listed in Alexandria via LeMat-Bulk.

Cell: 9.434 9.434 9.434 Å, 28.83 28.83 28.83°
Fractional positions:
1 Dy 0.127 0.127 0.127
2 Dy 0.873 0.873 0.873
3 Ho 0.000 0.000 0.000
4 Zn 0.395 0.395 0.395
5 Zn 0.605 0.605 0.605
6 In 0.263 0.263 0.263
7 In 0.737 0.737 0.737

density	8.18	g/cm3
energy of formation from the pure elements	-0.269	eV/atom
spin magnetization	0.00	Bohr magnetons per cell



# 6
First-principles (PBE) data for crystalline DyHoZrIn at its relaxed geometry, as listed in Alexandria via LeMat-Bulk.

Cell: 5.328 5.328 5.328 Å, 60.00 60.00 60.00°
Fractional positions:
1 Dy 0.000 0.000 0.000
2 Ho 0.500 0.500 0.500
3 Zr 0.750 0.750 0.750
4 In 0.250 0.250 0.250

density	8.28	g/cm3
energy of formation from the pure elements	-0.074	eV/atom
spin magnetization	2.63	Bohr magnetons per cell



# 7
First-principles (PBE) data for crystalline DyHo2Ir9 at its relaxed geometry, as listed in Alexandria via LeMat-Bulk.

Cell: 9.291 9.291 9.291 Å, 33.15 33.15 33.15°
Fractional positions:
1 Dy 0.000 0.000 0.000
2 Ho 0.139 0.139 0.139
3 Ho 0.861 0.861 0.861
4 Ir 0.083 0.582 0.582
5 Ir 0.333 0.333 0.333
6 Ir 0.418 0.418 0.917
7 Ir 0.418 0.917 0.418
8 Ir 0.500 0.500 0.500
9 Ir 0.582 0.083 0.582
10 Ir 0.582 0.582 0.083
11 Ir 0.667 0.667 0.667
12 Ir 0.917 0.418 0.418

density	17.29	g/cm3
energy of formation from the pure elements	-0.591	eV/atom
spin magnetization	0.00	Bohr magnetons per cell



# 8
First-principles (PBE) data for crystalline DyHo3Ir at its relaxed geometry, as listed in Alexandria via LeMat-Bulk.

Cell: 8.832 8.832 9.263 Å, 104.41 104.41 24.79°
Fractional positions:
1 Dy 0.190 0.190 0.297
2 Dy 0.810 0.810 0.703
3 Ho 0.180 0.180 0.877
4 Ho 0.399 0.399 0.456
5 Ho 0.498 0.498 0.818
6 Ho 0.502 0.502 0.182
7 Ho 0.601 0.601 0.544
8 Ho 0.820 0.820 0.123
9 Ir 0.361 0.361 0.934
10 Ir 0.639 0.639 0.066

energy above the most stable polymorph in this dataset	74	meV/atom
density	9.63	g/cm3
energy of formation from the pure elements	-0.271	eV/atom
spin magnetization	0.45	Bohr magnetons per cell



# 9
First-principles (PBE) data for crystalline Dy3HoIr8 at its relaxed geometry, as listed in Alexandria via LeMat-Bulk.

Cell: 9.273 9.273 9.273 Å, 33.59 33.59 33.59°
Fractional positions:
1 Dy 0.000 0.000 0.000
2 Dy 0.125 0.125 0.125
3 Dy 0.625 0.625 0.625
4 Ho 0.500 0.500 0.500
5 Ir 0.062 0.062 0.562
6 Ir 0.062 0.562 0.062
7 Ir 0.063 0.563 0.563
8 Ir 0.312 0.312 0.312
9 Ir 0.562 0.062 0.062
10 Ir 0.563 0.063 0.563
11 Ir 0.563 0.563 0.063
12 Ir 0.812 0.812 0.812

density	16.73	g/cm3
energy of formation from the pure elements	-0.815	eV/atom
spin magnetization	0.00	Bohr magnetons per cell



# 10
First-principles (PBE) data for crystalline Dy2HoIr9 at its relaxed geometry, as listed in Alexandria via LeMat-Bulk.

Cell: 9.306 9.306 9.306 Å, 33.09 33.09 33.09°
Fractional positions:
1 Dy 0.139 0.139 0.139
2 Dy 0.861 0.861 0.861
3 Ho 0.000 0.000 0.000
4 Ir 0.083 0.582 0.582
5 Ir 0.333 0.333 0.333
6 Ir 0.418 0.418 0.917
7 Ir 0.418 0.917 0.418
8 Ir 0.500 0.500 0.500
9 Ir 0.582 0.083 0.582
10 Ir 0.582 0.582 0.083
11 Ir 0.667 0.667 0.667
12 Ir 0.917 0.418 0.418

density	17.23	g/cm3
energy of formation from the pure elements	-0.585	eV/atom
spin magnetization	0.00	Bohr magnetons per cell



# 11
First-principles (PBE) data for crystalline DyHo2Ir at its relaxed geometry, as listed in Alexandria via LeMat-Bulk.

Cell: 6.320 6.320 9.067 Å, 90.00 90.00 144.19°
Fractional positions:
1 Dy 0.074 0.926 0.750
2 Dy 0.926 0.074 0.250
3 Ho 0.358 0.642 0.566
4 Ho 0.358 0.642 0.934
5 Ho 0.642 0.358 0.066
6 Ho 0.642 0.358 0.434
7 Ir 0.253 0.747 0.250
8 Ir 0.747 0.253 0.750

energy above the most stable polymorph in this dataset	38	meV/atom
density	10.73	g/cm3
energy of formation from the pure elements	-0.555	eV/atom
spin magnetization	0.00	Bohr magnetons per cell



# 12
First-principles (PBE) data for crystalline DyHo2Ir at its relaxed geometry, as listed in Alexandria via LeMat-Bulk.

Cell: 10.683 10.683 10.683 Å, 20.05 20.05 20.05°
Fractional positions:
1 Dy 0.000 0.000 0.000
2 Ho 0.113 0.113 0.113
3 Ho 0.887 0.887 0.887
4 Ir 0.500 0.500 0.500

energy above the most stable polymorph in this dataset	464	meV/atom
density	9.07	g/cm3
energy of formation from the pure elements	-0.129	eV/atom
spin magnetization	0.35	Bohr magnetons per cell